Density functional theory data (PBE) for Y3AgH after structural relaxation.

Values from the calculation:
**Energy**: -5.260 eV per atom
**Offset from the most stable computed form**: 0 meV per atom
**Magnetic moment**: 1.07 μB per formula unit
**Space-group type**: Pm-3m

Cell lengths 4.8222, 4.8222, 4.8222 Å; angles 90.00, 90.00, 90.00 degrees
With the nearest neighbours (Å) after each atom.
Fractional positions:
H1 0.0000 0.0000 0.0000  6 Y 2.41
Y1 0.0000 0.0000 0.5000  2 H 2.41
Y2 0.0000 0.5000 0.0000  2 H 2.41
Y3 0.5000 0.0000 0.0000  2 H 2.41
Ag1 0.5000 0.5000 0.5000  12 Y 3.41